SrAsO2F after structural relaxation, computed with PBE.

Values from the calculation:
E	-5.572	eV/atom
V	14.59	A^3/atom

abc: 4.129 4.129 4.279
angles: 90.00 90.00 90.00
Atoms (fractional coordinates):
1 Sr 0.000 0.000 0.000
2 As 0.500 0.500 0.500
3 O 0.000 0.500 0.500
4 O 0.500 0.000 0.500
5 F 0.500 0.500 0.000

ScAs4Cl after structural relaxation, computed with PBE.

Values from the calculation:
E	-4.597	eV/atom
V	20.40	A^3/atom

abc: 5.573 5.573 5.573
angles: 60.00 60.00 60.00
Atoms (fractional coordinates):
1 Sc 0.000 0.000 0.000
2 As 0.131 0.623 0.623
3 As 0.623 0.131 0.623
4 As 0.623 0.623 0.131
5 As 0.623 0.623 0.623
6 Cl 0.250 0.250 0.250

SrCeSiHg after structural relaxation, computed with PBE.

Values from the calculation:
E	-3.655	eV/atom
V	27.52	A^3/atom

abc: 5.379 5.379 5.379
angles: 60.00 60.00 60.00
Atoms (fractional coordinates):
1 Sr 0.000 0.000 0.000
2 Ce 0.500 0.500 0.500
3 Si 0.250 0.250 0.250
4 Hg 0.750 0.750 0.750

Li2Y2Zn after structural relaxation, computed with PBE.

Values from the calculation:
calculated formation energy	0.11	eV per formula unit
V	24.14	A^3/atom

abc: 9.487 9.487 9.487
angles: 157.91 157.91 31.44
Atoms (fractional coordinates):
1 Li 0.250 0.750 0.500
2 Li 0.750 0.250 0.500
3 Y 0.093 0.093 0.000
4 Y 0.907 0.907 0.000
5 Zn 0.500 0.500 0.000

DyHoFeRu after structural relaxation, computed with PBE.

Values from the calculation:
calculated formation energy	-0.28	eV per formula unit
V	19.56	A^3/atom

abc: 4.801 4.801 4.801
angles: 60.00 60.00 60.00
Atoms (fractional coordinates):
1 Dy 0.000 0.000 0.000
2 Ho 0.500 0.500 0.500
3 Fe 0.750 0.750 0.750
4 Ru 0.250 0.250 0.250

LiAg2PtSe after structural relaxation, computed with PBE.

Values from the calculation:
E	-3.055	eV/atom
V	17.58	A^3/atom

abc: 4.495 4.495 4.350
angles: 90.00 90.00 90.00
Atoms (fractional coordinates):
1 Li 0.000 0.000 0.000
2 Ag 0.000 0.500 0.000
3 Ag 0.500 0.000 0.000
4 Pt 0.500 0.500 0.500
5 Se 0.000 0.000 0.500